(1)
VASP calculation (PBE-GGA) on a relaxed structure of TcSnIO2.

The value obtained for the formation energy without anion corrections is -0.1840 eV/atom. The volume is 18.80 Å³ per atom. The excess energy over the best structure of this formula in the dataset is 0.000 eV per atom. As for the density of states at the Fermi level: 0.84 states/eV per atom.

Unit cell a=4.1114 b=4.1114 c=5.5603 alpha=90.00 beta=90.00 gamma=90.00
Closest atoms and distances in Å follow each position.
Element x y z (fractional)
I 0.0000 0.0000 0.5000  2 Tc 2.78, 4 Sn 2.91
Sn 0.5000 0.5000 0.5000  4 I 2.91
O 0.0000 0.5000 0.0000  2 Tc 2.06
O 0.5000 0.0000 0.0000  2 Tc 2.06
Tc 0.0000 0.0000 0.0000  4 O 2.06

---

(2)
VASP calculation (PBE-GGA) on a relaxed structure of Cs2PuZn3F12.

The value obtained for the formation energy without anion corrections is -2.7661 eV/atom. The volume is 18.37 Å³ per atom.

Unit cell a=7.9817 b=7.9817 c=7.9817 alpha=56.52 beta=56.52 gamma=56.52
Closest atoms and distances in Å follow each position.
Element x y z (fractional)
Cs 0.5989 0.5989 0.5989  6 F 3.17-3.46
Cs 0.4011 0.4011 0.4011  6 F 3.17-3.46
Pu 0.0000 0.0000 0.0000  6 F 2.16
Zn 0.5000 0.0000 0.0000  6 F 2.00-2.21
Zn 0.0000 0.5000 0.0000  6 F 2.00-2.21
Zn 0.0000 0.0000 0.5000  6 F 2.00-2.21
F 0.3094 0.3094 0.9168  2 Zn 2.00
F 0.9183 0.9183 0.3364  1 Pu 2.16, 1 Zn 2.21
F 0.3364 0.9183 0.9183  1 Pu 2.16, 1 Zn 2.21
F 0.9168 0.3094 0.3094  2 Zn 2.00
F 0.9183 0.3364 0.9183  1 Pu 2.16, 1 Zn 2.21
F 0.3094 0.9168 0.3094  2 Zn 2.00
F 0.6906 0.6906 0.0832  2 Zn 2.00
F 0.0817 0.0817 0.6636  1 Pu 2.16, 1 Zn 2.21
F 0.6636 0.0817 0.0817  1 Pu 2.16, 1 Zn 2.21
F 0.0832 0.6906 0.6906  2 Zn 2.00
F 0.0817 0.6636 0.0817  1 Pu 2.16, 1 Zn 2.21
F 0.6906 0.0832 0.6906  2 Zn 2.00

---

(3)
VASP calculation (PBE-GGA) on a relaxed structure of PmNd12In6.

The volume is 31.24 Å³ per atom. The formation energy comes out at -0.24 eV per atom. As for the density of states at the Fermi level: 1.02 states/eV per atom.

Unit cell a=8.4048 b=8.4048 c=8.4048 alpha=89.16 beta=89.16 gamma=89.16
Closest atoms and distances in Å follow each position.
Element x y z (fractional)
Pm 0.0000 0.0000 0.0000  6 In 3.31, 6 Nd 3.48
Nd 0.8083 0.5281 0.4332  4 In 3.34-3.46, 4 Nd 3.45-3.51
Nd 0.4332 0.8083 0.5281  4 In 3.34-3.46, 4 Nd 3.45-3.51
Nd 0.5281 0.4332 0.8083  4 In 3.34-3.46, 4 Nd 3.45-3.51
Nd 0.1917 0.4719 0.5668  4 In 3.34-3.46, 4 Nd 3.45-3.51
Nd 0.5668 0.1917 0.4719  4 In 3.34-3.46, 4 Nd 3.45-3.51
Nd 0.4719 0.5668 0.1917  4 In 3.34-3.46, 4 Nd 3.45-3.51
Nd 0.0739 0.1241 0.3845  3 Nd 3.09-3.41, 1 In 3.37
Nd 0.8759 0.6155 0.9261  3 Nd 3.09-3.41, 1 In 3.37
Nd 0.6155 0.9261 0.8759  3 Nd 3.09-3.41, 1 In 3.37
Nd 0.9261 0.8759 0.6155  3 Nd 3.09-3.41, 1 In 3.37
Nd 0.1241 0.3845 0.0739  3 Nd 3.09-3.41, 1 In 3.37
Nd 0.3845 0.0739 0.1241  3 Nd 3.09-3.41, 1 In 3.37
In 0.7252 0.8783 0.2582  1 Pm 3.31, 7 Nd 3.34-3.47, 2 In 3.51
In 0.7418 0.2748 0.1217  1 Pm 3.31, 7 Nd 3.34-3.47, 2 In 3.51
In 0.1217 0.7418 0.2748  1 Pm 3.31, 7 Nd 3.34-3.47, 2 In 3.51
In 0.2748 0.1217 0.7418  1 Pm 3.31, 7 Nd 3.34-3.47, 2 In 3.51
In 0.2582 0.7252 0.8783  1 Pm 3.31, 7 Nd 3.34-3.47, 2 In 3.51
In 0.8783 0.2582 0.7252  1 Pm 3.31, 7 Nd 3.34-3.47, 2 In 3.51

---

(4)
VASP calculation (PBE-GGA) on a relaxed structure of AsPtRh2.

The volume is 15.16 Å³ per atom. The formation energy comes out at -0.10 eV per atom. As for the density of states at the Fermi level: 1.15 states/eV per atom.

Unit cell a=5.0424 b=5.0424 c=4.7133 alpha=67.16 beta=67.16 gamma=33.62
Closest atoms and distances in Å follow each position.
Element x y z (fractional)
As 0.5039 0.5039 0.5806  4 Rh 2.47, 2 Pt 2.54
Rh 0.9929 0.9929 0.0124  2 As 2.47
Rh 0.7823 0.7823 0.6779  2 As 2.47
Pt 0.2209 0.2209 0.2290  2 As 2.54, 7 Rh 2.78-2.82

---

(5)
VASP calculation (PBE-GGA) on a relaxed structure of Pm2NCl.

The value obtained for the formation energy without anion corrections is -1.3043 eV/atom. The volume is 25.59 Å³ per atom. The excess energy over the best structure of this formula in the dataset is 0.253 eV per atom. As for the density of states at the Fermi level: 0.40 states/eV per atom.

Unit cell a=3.7892 b=5.7044 c=9.4724 alpha=90.00 beta=90.00 gamma=90.00
Closest atoms and distances in Å follow each position.
Element x y z (fractional)
Pm 0.7009 0.5636 0.3088  1 N 2.20
Pm 0.7010 0.5885 0.6957  3 N 2.36-2.41
Pm 0.2010 0.0885 0.5202  3 N 2.36-2.41
Pm 0.2011 0.0636 0.9072  1 N 2.20
N 0.2010 0.8306 0.7219  4 Pm 2.20-2.41
N 0.7009 0.3306 0.4940  4 Pm 2.20-2.41
Cl 0.2009 0.9507 0.2093  4 Pm 2.93-3.06
Cl 0.7011 0.4507 0.0067  4 Pm 2.93-3.06

---

(6)
VASP calculation (PBE-GGA) on a relaxed structure of SrTaCr3.

The volume is 23.53 Å³ per atom. The excess energy over the best structure of this formula in the dataset is 0.000 eV per atom. The formation energy comes out at 1.16 eV per atom. As for the density of states at the Fermi level: 0.85 states/eV per atom.

Unit cell a=4.9001 b=4.9001 c=4.9001 alpha=90.00 beta=90.00 gamma=90.00
Closest atoms and distances in Å follow each position.
Element x y z (fractional)
Sr 0.5000 0.5000 0.5000  12 Cr 3.46
Cr 0.0000 0.5000 0.0000  2 Ta 2.45
Cr 0.0000 0.0000 0.5000  2 Ta 2.45
Cr 0.5000 0.0000 0.0000  2 Ta 2.45
Ta 0.0000 0.0000 0.0000  6 Cr 2.45

---

(7)
VASP calculation (PBE-GGA) on a relaxed structure of B13N2.

The value obtained for the formation energy without anion corrections is -0.2092 eV/atom. The volume is 7.22 Å³ per atom. As for the density of states at the Fermi level: 0.13 states/eV per atom.

Unit cell a=5.2189 b=5.2189 c=5.2189 alpha=63.48 beta=63.48 gamma=63.48
Closest atoms and distances in Å follow each position.
Element x y z (fractional)
B 0.1965 0.6801 0.1965  1 N 1.57, 2 B 1.75
B 0.1965 0.1965 0.6801  1 N 1.57, 2 B 1.75
B 0.6801 0.1965 0.1965  1 N 1.57, 2 B 1.75
B 0.3199 0.8035 0.8035  1 N 1.57, 2 B 1.75
B 0.8035 0.3199 0.8035  1 N 1.57, 2 B 1.75
B 0.8035 0.8035 0.3199  1 N 1.57, 2 B 1.75
B 0.9963 0.6686 0.9963  6 B 1.73-1.81
B 0.9963 0.9963 0.6686  6 B 1.73-1.81
B 0.6686 0.9963 0.9963  6 B 1.73-1.81
B 0.3314 0.0037 0.0037  6 B 1.73-1.81
B 0.0037 0.3314 0.0037  6 B 1.73-1.81
B 0.0037 0.0037 0.3314  6 B 1.73-1.81
B 0.5000 0.5000 0.5000  2 N 1.44
N 0.6154 0.6154 0.6154  4 B 1.44-1.57
N 0.3846 0.3846 0.3846  4 B 1.44-1.57

---

(8)
VASP calculation (PBE-GGA) on a relaxed structure of MgInHRh2.

The volume is 13.29 Å³ per atom. The excess energy over the best structure of this formula in the dataset is 0.000 eV per atom. As for the density of states at the Fermi level: 0.28 states/eV per atom.

Unit cell a=4.1732 b=4.1732 c=3.8149 alpha=90.00 beta=90.00 gamma=90.00
Closest atoms and distances in Å follow each position.
Element x y z (fractional)
H 0.0000 0.0000 0.0000  2 Mg 1.91, 4 Rh 2.09
Mg 0.0000 0.0000 0.5000  2 H 1.91
Rh 0.0000 0.5000 0.0000  2 H 2.09
Rh 0.5000 0.0000 0.0000  2 H 2.09
In 0.5000 0.5000 0.5000  8 Rh 2.83, 4 Mg 2.95

---

(9)
VASP calculation (PBE-GGA) on a relaxed structure of PuScTeO2.

The value obtained for the formation energy without anion corrections is -2.5994 eV/atom. The volume is 19.41 Å³ per atom. As for the density of states at the Fermi level: 1.50 states/eV per atom.

Unit cell a=3.9850 b=6.7686 c=7.5960 alpha=108.63 beta=90.00 gamma=90.00
Closest atoms and distances in Å follow each position.
Element x y z (fractional)
Pu 0.2500 0.6902 0.9388  4 O 2.30-2.45
Pu 0.7500 0.3098 0.0612  4 O 2.30-2.45
Sc 0.2500 0.6395 0.4171  4 O 2.06-2.14
Sc 0.7500 0.3605 0.5829  4 O 2.06-2.14
Te 0.2500 0.0392 0.7385  1 Sc 3.01, 3 Pu 3.19-3.24
Te 0.7500 0.9608 0.2615  1 Sc 3.01, 3 Pu 3.19-3.24
O 0.7500 0.5185 0.3914  3 Sc 2.06-2.14
O 0.2500 0.4815 0.6086  3 Sc 2.06-2.14
O 0.7500 0.5132 0.8682  1 Sc 2.08, 3 Pu 2.30-2.31
O 0.2500 0.4868 0.1318  1 Sc 2.08, 3 Pu 2.30-2.31

---

(10)
VASP calculation (PBE-GGA) on a relaxed structure of ZnW.

The volume is 16.36 Å³ per atom. The excess energy over the best structure of this formula in the dataset is 0.958 eV per atom. The formation energy comes out at 1.12 eV per atom. As for the density of states at the Fermi level: 0.40 states/eV per atom.

Unit cell a=3.8638 b=3.8638 c=5.0623 alpha=90.00 beta=90.00 gamma=120.00
Closest atoms and distances in Å follow each position.
Element x y z (fractional)
W 0.3333 0.6667 0.2500  6 Zn 2.56
W 0.6667 0.3333 0.7500  6 Zn 2.56
Zn 0.0000 0.0000 0.0000  2 Zn 2.53, 6 W 2.56
Zn 0.0000 0.0000 0.5000  2 Zn 2.53, 6 W 2.56

---

| no. | total moment (μB/atom) | energy (eV/atom) |
| --- | --- | --- |
| 1 | 0.181 | -5.35 |
| 2 | 0.222 | -5.12 |
| 3 | 0.000 | -4.36 |
| 4 | 0.000 | -6.45 |
| 5 | 0.303 | -6.22 |
| 6 | 1.749 | -7.33 |
| 7 | 0.065 | -7.11 |
| 8 | 0.000 | -4.86 |
| 9 | 1.000 | -9.34 |
| 10 | 0.000 | -5.99 |